(1)
VASP calculation (PBE-GGA) on an optimized crystal structure of La2ClO.

Values from the calculation:
- Electronic total energy: -6.133 eV/atom
- Formation energy without anion corrections: -1.968 eV per atom
- Calculated density: 4.76 g/cm³
- Total moment: 5.65 Bohr magnetons per cell

```
La2ClO
1.0
6.324 0.000 0.000
0.000 6.324 0.000
3.162 3.162 5.738
Cl O La
2 2 4
Cartesian
0.000 0.000 0.000
6.324 3.162 2.869
3.162 3.162 0.000
3.162 6.324 2.869
4.302 1.581 1.434
2.022 4.743 1.434
4.743 5.184 4.303
7.905 7.465 4.303
```


(2)
VASP calculation (PBE-GGA) on an optimized crystal structure of La2Cl2O.

Values from the calculation:
- Electronic total energy: -6.087 eV/atom
- Formation energy without anion corrections: -2.386 eV per atom
- Calculated density: 4.85 g/cm³
- Total moment: 0.00 Bohr magnetons per cell

```
La2Cl2O
1.0
7.928 0.000 -0.526
0.000 6.770 0.000
-1.806 0.000 9.427
La Cl O
8 8 4
Cartesian
5.472 5.796 1.358
1.508 4.358 1.621
4.615 2.411 7.280
0.650 0.973 7.543
4.288 2.426 3.451
0.324 0.959 3.714
5.799 5.811 5.188
1.835 4.344 5.450
4.661 1.636 0.157
0.697 1.749 0.420
5.426 5.021 8.482
1.462 5.134 8.744
6.801 3.431 2.375
2.837 6.724 2.638
3.286 0.046 6.263
-0.678 3.339 6.526
1.980 3.109 3.499
4.143 3.661 5.403
5.944 0.276 3.236
0.179 6.494 5.666
```


(3)
VASP calculation (PBE-GGA) on an optimized crystal structure of LaCl2O.

Values from the calculation:
- Electronic total energy: -4.972 eV/atom
- Formation energy without anion corrections: -1.578 eV per atom
- Calculated density: 4.75 g/cm³
- Total moment: 1.00 Bohr magnetons per cell

```
LaCl2O
1.0
-1.072 -3.992 2.219
2.658 -3.729 -1.021
2.992 -1.400 3.331
Cl O La
2 1 1
Cartesian
3.486 -6.945 3.448
1.092 -2.176 1.080
0.000 0.000 0.000
2.289 -4.560 2.264
```


(4)
VASP calculation (PBE-GGA) on an optimized crystal structure of La8Os3Cl4O.

Values from the calculation:
- Electronic total energy: -6.580 eV/atom
- Formation energy without anion corrections: -1.239 eV per atom
- Calculated density: 6.97 g/cm³
- Total moment: 0.00 Bohr magnetons per cell

```
La8Os3Cl4O
1.0
-0.353 7.189 -3.791
-3.033 -4.057 -7.410
-4.220 -1.196 6.852
La Os Cl O
8 3 4 1
Cartesian
-6.279 -2.345 0.614
-4.117 -1.731 -2.900
-3.173 0.095 0.475
-6.461 1.342 -1.330
-1.145 0.594 -3.019
-4.433 1.841 -4.824
-3.489 3.667 -1.449
-1.326 4.281 -4.963
-1.693 1.566 -5.601
-3.803 0.968 -2.175
-3.626 -2.627 -0.279
-0.177 3.594 -1.895
-2.287 2.996 1.531
0.000 0.000 0.000
-2.110 -0.598 3.426
-1.516 -2.028 -3.705
```


(5)
VASP calculation (PBE-GGA) on an optimized crystal structure of La6Os2Cl3O.

Values from the calculation:
- Electronic total energy: -6.573 eV/atom
- Formation energy without anion corrections: -1.362 eV per atom
- Calculated density: 6.91 g/cm³
- Total moment: 0.00 Bohr magnetons per cell

```
La6Os2Cl3O
1.0
-4.003 -2.810 4.985
-1.814 -0.627 -6.715
5.909 -5.330 0.111
La Os Cl O
6 2 3 1
Cartesian
-0.114 -7.267 0.638
-3.166 -3.630 -1.270
0.207 -1.500 -2.256
0.591 -6.564 -3.129
3.259 -5.137 -0.349
-0.498 -2.203 1.511
-2.545 -1.356 -2.809
-3.272 -2.081 1.079
0.764 -3.667 -4.646
-0.672 -5.100 3.028
0.046 -4.383 -0.809
0.000 0.000 0.000
```


(6)
VASP calculation (PBE-GGA) on an optimized crystal structure of La4OsCl2O.

Values from the calculation:
- Electronic total energy: -6.472 eV/atom
- Formation energy without anion corrections: -1.523 eV per atom
- Calculated density: 6.83 g/cm³
- Total moment: 0.00 Bohr magnetons per cell

```
La4OsCl2O
1.0
-2.876 -1.943 -1.923
-3.191 -1.112 5.896
-2.661 6.825 -2.914
La Os Cl O
4 1 2 1
Cartesian
-2.646 0.127 -0.264
-6.083 3.644 1.324
-2.896 5.152 -0.872
-2.956 0.561 3.855
-3.034 -1.527 1.987
-2.769 2.441 -2.418
-2.926 2.856 1.491
0.000 0.000 0.000
```